# 1
A relaxed structure of Pr3Tm2PaAs6, computed with PBE-GGA.

abc: 7.2315 7.2315 7.2822
angles: 99.51 99.51 120.00
Last column: nearest neighbours and their distance in Å.
Positions (direct):
Pr1 0.1676 0.8324 0.5000  6 As 3.02-3.04
Pr2 0.8324 0.1676 0.5000  6 As 3.02-3.04
Pr3 0.5000 0.5000 0.5000  6 As 3.02-3.05
Tm1 0.3336 0.6664 0.0000  6 As 2.90-2.91
Tm2 0.6664 0.3336 0.0000  6 As 2.90-2.91
Pa1 0.0000 0.0000 0.0000  6 As 2.87-2.88
As1 0.9224 0.5919 0.7668  1 Pa 2.88, 2 Tm 2.90-2.91, 3 Pr 3.02-3.04
As2 0.7474 0.7474 0.2327  1 Pa 2.87, 2 Tm 2.90, 3 Pr 3.03-3.05
As3 0.0776 0.4081 0.2332  1 Pa 2.88, 2 Tm 2.90-2.91, 3 Pr 3.02-3.04
As4 0.5919 0.9224 0.7668  1 Pa 2.88, 2 Tm 2.90-2.91, 3 Pr 3.02-3.04
As5 0.2526 0.2526 0.7673  1 Pa 2.87, 2 Tm 2.90, 3 Pr 3.03-3.05
As6 0.4081 0.0776 0.2332  1 Pa 2.88, 2 Tm 2.90-2.91, 3 Pr 3.02-3.04

Summary:
* DOS at the Fermi energy: 0.359 states/eV per atom
* VASP energy: -77.91 eV for the cell shown
* SG: C2/m, No. 12


# 2
A relaxed structure of Na3U3PN8, computed with PBE-GGA.

abc: 6.8262 6.8261 6.8564
angles: 119.86 90.00 120.00
Last column: nearest neighbours and their distance in Å.
Positions (direct):
Na1 0.0000 0.0000 0.0000  6 N 2.62-2.71
Na2 0.0000 0.5000 0.0000  6 N 2.62-2.71
Na3 0.5000 0.5000 0.0000  6 N 2.62-2.71
U1 0.5000 0.0000 0.5000  6 N 2.17-2.25
U2 0.5000 0.5000 0.5000  6 N 2.17-2.25
U3 0.0000 0.5000 0.5000  6 N 2.17-2.25
P1 0.0000 0.0000 0.5000  6 N 2.23
N1 0.2694 0.5388 0.3082  3 U 2.25
N2 0.7306 0.4612 0.6918  3 U 2.25
N3 0.7725 0.5450 0.3286  2 U 2.17, 1 P 2.23
N4 0.2275 0.4550 0.6714  2 U 2.17, 1 P 2.23
N5 0.7725 0.0561 0.3286  2 U 2.17, 1 P 2.23
N6 0.2275 0.9439 0.6714  2 U 2.17, 1 P 2.23
N7 0.2836 0.0561 0.3286  2 U 2.17, 1 P 2.23
N8 0.7164 0.9439 0.6714  2 U 2.17, 1 P 2.23

Summary:
* formation energy (no corrections): -0.6752 eV/atom
* SG: R-3m, No. 166


Volume across the listed records, respectively: 311.25, 226.39 Å³/cell.